[1]
Here is an optimized crystal structure of Ho8Ga3Te4As from the Alexandria database. Energies are from GGA-PBE.

Unit cell a=8.3383 b=8.6780 c=8.3380 alpha=118.71 beta=120.00 gamma=90.00
Closest atoms and distances in Å follow each position.
Atoms (fractional coordinates):
Te  0.0000  0.0000  0.0000  6 Ho 3.08-3.12
Ho  0.7428  0.7248  0.9838  1 As 2.90, 2 Ga 2.91, 3 Te 3.12-3.13
Te  0.5000  0.0000  0.0000  6 Ho 3.13
Ho  0.7444  0.7332  0.4888  3 Ga 2.94, 3 Te 3.08
As  0.0000  0.5000  0.0000  6 Ho 2.90
Ho  0.7590  0.2752  0.0162  1 As 2.90, 2 Ga 2.91, 3 Te 3.12-3.13
Te  0.5000  0.0000  0.5000  6 Ho 3.08-3.12
Ho  0.2556  0.2668  0.5112  3 Ga 2.94, 3 Te 3.08
Ho  0.2572  0.2752  0.0162  1 As 2.90, 2 Ga 2.91, 3 Te 3.12-3.13
Ho  0.2410  0.7248  0.9838  1 As 2.90, 2 Ga 2.91, 3 Te 3.12-3.13
Ga  0.5000  0.5000  0.5000  6 Ho 2.91-2.94
Ga  0.0000  0.5000  0.5000  6 Ho 2.91-2.94
Ga  0.5000  0.5000  0.0000  6 Ho 2.91-2.94
Ho  0.2411  0.7248  0.4821  1 As 2.90, 2 Ga 2.91, 3 Te 3.12-3.13
Te  0.0000  0.0000  0.5000  6 Ho 3.08-3.12
Ho  0.7589  0.2752  0.5179  1 As 2.90, 2 Ga 2.91, 3 Te 3.12-3.13

Summary:
- M_tot: 0.00 μB per atom
- Calculated total energy: -4.98 eV/atom
- Uncorrected formation energy: -101.4 kJ/mol of atoms
- N(E_F): 8.040 states/eV/f.u.
- Crystal system: trigonal
- SG: No. 166


[2]
Here is an optimized crystal structure of SmPO4 from the Alexandria database. Energies are from GGA-PBE.

Unit cell a=5.8944 b=5.8944 c=5.8922 alpha=105.92 beta=105.92 gamma=116.85
Closest atoms and distances in Å follow each position.
Atoms (fractional coordinates):
P  0.6250  0.3750  0.2500  4 O 1.56
O  0.2187  0.2967  0.5779  1 P 1.56
Sm  0.8750  0.1250  0.7500  8 O 2.40-2.45
O  0.7812  0.3592  0.0779  1 P 1.56
O  0.2967  0.2187  0.0779  1 P 1.56
Sm  0.1250  0.8750  0.2500  8 O 2.40-2.45
O  0.2188  0.6408  0.9221  1 P 1.56
O  0.3592  0.7812  0.5779  1 P 1.56
O  0.6408  0.2188  0.4221  1 P 1.56
O  0.7813  0.7033  0.4221  1 P 1.56
P  0.3750  0.6250  0.7500  4 O 1.56
O  0.7033  0.7813  0.9221  1 P 1.56

Summary:
- M_tot: 0.00 μB per atom
- Calculated total energy: -8.00 eV/atom
- Uncorrected formation energy: -289.8 kJ/mol of atoms
- N(E_F): 0.000 states/eV/f.u.
- Crystal system: tetragonal
- SG: No. 141


> What is the uncorrected formation energy in the second record?

-289.8 kJ/mol of atoms


> The highest uncorrected formation energy belongs to which entry?

Ho8Ga3Te4As


> Look up the uncorrected formation energy of the first one.

-101.4 kJ/mol of atoms


> Among the records above, which one has the lowest calculated total energy?

SmPO4